[1]
Entry from the Alexandria database: an optimized crystal structure of Y2Be2Os (PBE).

Computed properties:
* V: 191 Å³/cell
* raw total energy: -5.6871 eV per atom
* total magnetic moment: 0.5 μB/f.u.
* energy of formation from the pure elements: 3.2 eV/f.u.
* ΔE to the lowest computed polymorph: 55.95 kJ/mol of atoms

```
Y2Be2Os
1.0
7.789 0.000 0.000
0.000 7.789 0.000
0.000 0.000 3.148
Y Be Os
4 4 2
Cartesian
1.500 2.394 0.000
2.394 6.289 0.000
5.395 1.500 0.000
6.289 5.395 0.000
0.727 4.622 1.574
3.167 0.727 1.574
4.622 7.062 1.574
7.062 3.167 1.574
0.000 0.000 0.000
3.895 3.895 0.000
```

[2]
Entry from the Alexandria database: an optimized crystal structure of Ac3Co3Ag (PBE).

Computed properties:
* V: 371 Å³/cell
* raw total energy: -5.2453 eV per atom
* total magnetic moment: 3.0 μB/f.u.
* energy of formation from the pure elements: -0.2 eV/f.u.

```
Ac3Co3Ag
1.0
10.275 0.000 0.000
-5.138 8.899 0.000
0.000 0.000 4.052
Ac Co Ag
6 6 2
Cartesian
-1.122 3.430 1.013
-1.607 8.155 1.013
2.409 2.686 3.039
2.728 6.213 1.013
6.744 0.743 3.039
6.259 5.469 3.039
-0.483 1.315 3.039
-3.758 8.659 3.039
0.897 1.075 1.013
4.240 7.824 3.039
8.896 0.240 1.013
5.620 7.584 1.013
0.000 5.933 3.039
5.138 2.966 1.013
```

[3]
Entry from the Alexandria database: an optimized crystal structure of La3TlFe (PBE).

Computed properties:
* V: 148 Å³/cell
* raw total energy: -5.3034 eV per atom
* total magnetic moment: 0.0 μB/f.u.
* energy of formation from the pure elements: -0.9 eV/f.u.

```
La3TlFe
1.0
5.286 0.000 0.000
0.000 5.286 0.000
0.000 0.000 5.286
La Tl Fe
3 1 1
Cartesian
0.000 0.000 2.643
0.000 2.643 0.000
2.643 0.000 0.000
2.643 2.643 2.643
0.000 0.000 0.000
```

[4]
Entry from the Alexandria database: an optimized crystal structure of La2InGa6Ag (PBE).

Computed properties:
* V: 490 Å³/cell
* raw total energy: -3.5817 eV per atom
* total magnetic moment: 0.0 μB/f.u.
* energy of formation from the pure elements: -2.2 eV/f.u.

```
La2InGa6Ag
1.0
3.120 1.801 14.533
-3.120 1.801 14.533
0.000 -3.602 14.533
La In Ga Ag
4 2 12 2
Cartesian
0.000 0.000 5.046
0.000 0.000 13.666
0.000 0.000 29.934
0.000 0.000 38.554
0.000 0.000 18.698
0.000 0.000 24.902
-1.879 -1.085 20.472
0.000 -1.797 16.509
-1.556 0.899 16.509
-1.556 -0.899 27.091
0.000 -2.170 23.128
-1.879 1.085 23.128
1.879 -1.085 20.472
0.000 2.170 20.472
1.556 0.899 16.509
1.556 -0.899 27.091
0.000 1.797 27.091
1.879 1.085 23.128
0.000 0.000 0.000
0.000 0.000 21.800
```